16
Lattice="-3.4460 2.5839 -2.5102 2.3570 -1.2323 -4.5042 -3.4644 -5.0414 -0.4336" Properties=species:S:1:pos:R:3 comment="Li2CuPO4 | Alexandria | meta-GGA SCAN | single point on PBEsol structure" space_group="Pmn2_1, No. 31" relative_energy_mev_per_atom=2 e_form_raw_mev_per_atom=-2170 pbc="T T T"
Li -1.0099 -4.6076 -3.3704
Li -3.5623 -2.8876 -3.0463
Li 0.7195 -2.0910 -3.1540
Li -1.8273 -0.3628 -2.8292
Cu -1.5519 -2.2227 -5.1215
Cu 0.4443 -0.2312 -0.8616
P 0.2264 0.2707 -4.9565
P -4.7525 -0.1614 -3.5166
O -2.0710 -3.6580 -2.0157
O -1.2047 -0.2935 -4.6921
O -3.6492 -0.9805 -2.8083
O -1.7818 1.3930 -1.9607
O 1.2575 -0.5106 -4.1101
O -0.6546 -1.5968 -1.8385
O 0.0639 -3.3894 -4.4669
O -3.2526 -3.2737 -4.9484